# TbHo2Br (GGA-PBE, relaxed)
# - electronic total energy (eV/cell) = -52.50
# - V (Å³ per cell) = 348.5
# - formation energy without anion corrections (eV per atom) = -0.511
data_TbHo2Br
_chemical_formula_sum 'Tb3 Ho6 Br3'
_space_group_name_H-M_alt 'R -3 m'
_space_group_IT_number 166
_space_group_name_Hall '-R 3 2"'
_cell_length_a 3.6293
_cell_length_b 3.6293
_cell_length_c 30.5480
_cell_angle_alpha 90.00
_cell_angle_beta 90.00
_cell_angle_gamma 120.00
loop_
_atom_site_label
_atom_site_fract_x
_atom_site_fract_y
_atom_site_fract_z
_atom_site_occupancy
Tb1 0.0000 0.0000 0.0000 1
Ho1 0.0000 0.0000 0.2427 1
Br1 0.0000 0.0000 0.5000 1


# HoTcBr (GGA-PBE, relaxed)
# - electronic total energy (eV/cell) = -116.03
# - V (Å³ per cell) = 501.4
# - formation energy without anion corrections (eV per atom) = -0.907
data_HoTcBr
_chemical_formula_sum 'Ho6 Tc6 Br6'
_space_group_name_H-M_alt 'R -3 m'
_space_group_IT_number 166
_space_group_name_Hall '-R 3 2"'
_cell_length_a 4.0583
_cell_length_b 4.0583
_cell_length_c 35.1567
_cell_angle_alpha 90.00
_cell_angle_beta 90.00
_cell_angle_gamma 120.00
loop_
_atom_site_label
_atom_site_fract_x
_atom_site_fract_y
_atom_site_fract_z
_atom_site_occupancy
Ho1 0.0000 0.0000 0.0615 1
Tc1 0.0000 0.0000 0.3388 1
Br1 0.0000 0.0000 0.2196 1


# Ho2Te2Br (GGA-PBE, relaxed)
# - electronic total energy (eV/cell) = -48.75
# - V (Å³ per cell) = 322.6
# - formation energy without anion corrections (eV per atom) = -1.453
data_Ho2Te2Br
_chemical_formula_sum 'Ho4 Te4 Br2'
_space_group_name_H-M_alt 'I 4/m m m'
_space_group_IT_number 139
_space_group_name_Hall '-I 4 2'
_cell_length_a 4.328
_cell_length_b 4.328
_cell_length_c 17.220
_cell_angle_alpha 90.00
_cell_angle_beta 90.00
_cell_angle_gamma 90.00
loop_
_atom_site_label
_atom_site_fract_x
_atom_site_fract_y
_atom_site_fract_z
_atom_site_occupancy
Ho1 0.000 0.000 0.162 1
Te1 0.000 0.000 0.342 1
Br1 0.000 0.000 0.000 1


# Ho2TeBr (GGA-PBE, relaxed)
# - electronic total energy (eV/cell) = -54.04
# - V (Å³ per cell) = 326.4
# - formation energy without anion corrections (eV per atom) = -1.011
data_Ho2TeBr
_chemical_formula_sum 'Ho6 Te3 Br3'
_space_group_name_H-M_alt 'R 3 m'
_space_group_IT_number 160
_space_group_name_Hall 'R 3 -2"'
_cell_length_a 3.8567
_cell_length_b 3.8567
_cell_length_c 25.3372
_cell_angle_alpha 90.00
_cell_angle_beta 90.00
_cell_angle_gamma 120.00
loop_
_atom_site_label
_atom_site_fract_x
_atom_site_fract_y
_atom_site_fract_z
_atom_site_occupancy
Ho1 0.0000 0.0000 0.0000 1
Ho2 0.0000 0.0000 0.1702 1
Te1 0.0000 0.0000 0.5847 1
Br1 0.0000 0.0000 0.4180 1


# Ho2TeBr (GGA-PBE, relaxed)
# - electronic total energy (eV/cell) = -53.39
# - V (Å³ per cell) = 395.0
# - formation energy without anion corrections (eV per atom) = -0.956
data_Ho2TeBr
_chemical_formula_sum 'Ho6 Te3 Br3'
_space_group_name_H-M_alt 'R -3 m'
_space_group_IT_number 166
_space_group_name_Hall '-R 3 2"'
_cell_length_a 4.0352
_cell_length_b 4.0352
_cell_length_c 28.0103
_cell_angle_alpha 90.00
_cell_angle_beta 90.00
_cell_angle_gamma 120.00
loop_
_atom_site_label
_atom_site_fract_x
_atom_site_fract_y
_atom_site_fract_z
_atom_site_occupancy
Ho1 0.0000 0.0000 0.0976 1
Te1 0.0000 0.0000 0.5000 1
Br1 0.0000 0.0000 0.0000 1


# Ho3Te3Br (GGA-PBE, relaxed)
# - electronic total energy (eV/cell) = -34.61
# - V (Å³ per cell) = 218.5
# - formation energy without anion corrections (eV per atom) = -1.397
data_Ho3Te3Br
_chemical_formula_sum 'Ho3 Te3 Br1'
_space_group_name_H-M_alt 'P 4/m m m'
_space_group_IT_number 123
_space_group_name_Hall '-P 4 2'
_cell_length_a 4.325
_cell_length_b 4.325
_cell_length_c 11.677
_cell_angle_alpha 90.00
_cell_angle_beta 90.00
_cell_angle_gamma 90.00
loop_
_atom_site_label
_atom_site_fract_x
_atom_site_fract_y
_atom_site_fract_z
_atom_site_occupancy
Ho1 0.000 0.000 0.000 1
Ho2 0.500 0.500 0.261 1
Te1 0.000 0.000 0.268 1
Te2 0.500 0.500 0.000 1
Br1 0.500 0.500 0.500 1


# Ho2ThBr (GGA-PBE, relaxed)
# - electronic total energy (eV/cell) = -61.20
# - V (Å³ per cell) = 349.5
# - formation energy without anion corrections (eV per atom) = -0.538
data_Ho2ThBr
_chemical_formula_sum 'Ho6 Th3 Br3'
_space_group_name_H-M_alt 'R -3 m'
_space_group_IT_number 166
_space_group_name_Hall '-R 3 2"'
_cell_length_a 3.6544
_cell_length_b 3.6544
_cell_length_c 30.2159
_cell_angle_alpha 90.00
_cell_angle_beta 90.00
_cell_angle_gamma 120.00
loop_
_atom_site_label
_atom_site_fract_x
_atom_site_fract_y
_atom_site_fract_z
_atom_site_occupancy
Ho1 0.0000 0.0000 0.2431 1
Th1 0.0000 0.0000 0.0000 1
Br1 0.0000 0.0000 0.5000 1


# Ho2TiBr (GGA-PBE, relaxed)
# - electronic total energy (eV/cell) = -56.22
# - V (Å³ per cell) = 312.8
# - formation energy without anion corrections (eV per atom) = -0.004
data_Ho2TiBr
_chemical_formula_sum 'Ho6 Ti3 Br3'
_space_group_name_H-M_alt 'R -3 m'
_space_group_IT_number 166
_space_group_name_Hall '-R 3 2"'
_cell_length_a 3.3584
_cell_length_b 3.3584
_cell_length_c 32.0194
_cell_angle_alpha 90.00
_cell_angle_beta 90.00
_cell_angle_gamma 120.00
loop_
_atom_site_label
_atom_site_fract_x
_atom_site_fract_y
_atom_site_fract_z
_atom_site_occupancy
Ho1 0.0000 0.0000 0.0919 1
Ti1 0.0000 0.0000 0.0000 1
Br1 0.0000 0.0000 0.5000 1